No. 1
First-principles (PBE) data for an optimized crystal structure of Si2Se4N, as listed in Alexandria.

## Properties
DOS(E_F) ... 2.878 states/eV per cell
Calculated density ... 5111 kg/m3
Spin magnetization ... 0.0 Bohr magnetons per cell
Calculated total energy ... -4.032 eV per atom
SG ... No. 139
Energy relative to the elements, uncorrected ... 698 meV/atom

Cell: 7.8387 7.8387 7.8387 Å, 149.27 149.27 44.02°
Sites, in units of the cell vectors:
Si (0.1452, 0.1452, 0.0000)
Si (0.8548, 0.8548, 0.0000)
Se (0.0000, 0.5000, 0.5000)
Se (0.3150, 0.3150, 0.0000)
Se (0.5000, 0.0000, 0.5000)
Se (0.6850, 0.6850, 0.0000)
N (0.5000, 0.5000, 0.0000)

No. 2
First-principles (PBE) data for an optimized crystal structure of SiSeN3, as listed in Alexandria.

## Properties
DOS(E_F) ... 2.430 states/eV per cell
Calculated density ... 5176 kg/m3
Spin magnetization ... 0.0 Bohr magnetons per cell
Calculated total energy ... -5.728 eV per atom
SG ... No. 221
Energy relative to the elements, uncorrected ... 1049 meV/atom

Cell: 3.6297 3.6297 3.6297 Å, 90.00 90.00 90.00°
Sites, in units of the cell vectors:
Si (0.0000, 0.0000, 0.0000)
Se (0.5000, 0.5000, 0.5000)
N (0.0000, 0.0000, 0.5000)
N (0.0000, 0.5000, 0.0000)
N (0.5000, 0.0000, 0.0000)

No. 3
First-principles (PBE) data for an optimized crystal structure of SiSe2N, as listed in Alexandria.

## Properties
DOS(E_F) ... 1.885 states/eV per cell
Calculated density ... 4945 kg/m3
Spin magnetization ... 0.0 Bohr magnetons per cell
Calculated total energy ... -3.974 eV per atom
SG ... No. 166
Energy relative to the elements, uncorrected ... 1206 meV/atom

Cell: 8.4037 8.4037 8.4037 Å, 21.07 21.07 21.07°
Sites, in units of the cell vectors:
Si (0.0000, 0.0000, 0.0000)
Se (0.1058, 0.1058, 0.1058)
Se (0.8942, 0.8942, 0.8942)
N (0.5000, 0.5000, 0.5000)

No. 4
First-principles (PBE) data for an optimized crystal structure of SiSe2N, as listed in Alexandria.

## Properties
DOS(E_F) ... 3.524 states/eV per cell
Calculated density ... 4060 kg/m3
Spin magnetization ... 0.0 Bohr magnetons per cell
Calculated total energy ... -4.340 eV per atom
SG ... No. 166
Energy relative to the elements, uncorrected ... 839 meV/atom

Cell: 7.1365 7.1365 7.1365 Å, 30.27 30.27 30.27°
Sites, in units of the cell vectors:
Si (0.0000, 0.0000, 0.0000)
Se (0.4119, 0.4119, 0.4119)
Se (0.5881, 0.5881, 0.5881)
N (0.5000, 0.5000, 0.5000)

Which formula does entry 1 have?
Si2Se4N